No. 1
Material: Pa3NbN2O6
Method: DFT, PBE
State: relaxed

a b c (Å): 4.6635 6.9147 6.5854
angles (deg): 121.67 91.54 90.00
Closest atoms and distances in Å follow each position.
Sites, in units of the cell vectors:
1 O 0.7417 0.8404 0.1553  1 Nb 2.16, 2 Pa 2.27-2.36
2 O 0.7417 0.3149 0.1553  1 Nb 2.16, 2 Pa 2.27-2.36
3 O 0.7135 0.8337 0.6673  1 Nb 2.14, 2 Pa 2.19
4 O 0.2583 0.6851 0.8447  1 Nb 2.16, 2 Pa 2.27-2.36
5 O 0.2583 0.1596 0.8447  1 Nb 2.16, 2 Pa 2.27-2.36
6 O 0.2865 0.1663 0.3327  1 Nb 2.14, 2 Pa 2.19
7 N 0.2659 0.6625 0.3250  3 Pa 2.17-2.25
8 N 0.7341 0.3375 0.6750  3 Pa 2.17-2.25
9 Pa 0.0000 0.5000 0.0000  2 N 2.17, 4 O 2.36
10 Pa 0.5000 0.0000 0.5000  4 O 2.19-2.27, 2 N 2.25
11 Pa 0.5000 0.5000 0.5000  4 O 2.19-2.27, 2 N 2.25
12 Nb 0.5000 0.0000 0.0000  6 O 2.14-2.16

Computed properties:
- Symmetry: No. 12
- DOS at the Fermi energy: 4.209 states/eV/cell
- Raw formation energy: -2605 meV/atom

No. 2
Material: NbPdNO2
Method: DFT, PBE
State: relaxed

a b c (Å): 3.8818 3.8818 3.9531
angles (deg): 90.00 90.00 90.00
Closest atoms and distances in Å follow each position.
Sites, in units of the cell vectors:
1 Nb 0.5000 0.5000 0.5000  4 N 2.74, 8 O 2.77
2 Pd 0.0000 0.0000 0.0000  4 O 1.94, 2 N 1.98
3 N 0.0000 0.0000 0.5000  2 Pd 1.98
4 O 0.5000 0.0000 0.0000  2 Pd 1.94
5 O 0.0000 0.5000 0.0000  2 Pd 1.94

Computed properties:
- Symmetry: No. 123
- DOS at the Fermi energy: 4.308 states/eV/cell
- Raw formation energy: 440 meV/atom

No. 3
Material: NbPdNO2
Method: DFT, PBE
State: relaxed

a b c (Å): 3.9264 3.9264 4.2563
angles (deg): 90.00 90.00 90.00
Closest atoms and distances in Å follow each position.
Sites, in units of the cell vectors:
1 Nb 0.0000 0.0000 0.0000  4 O 1.96, 2 N 2.13
2 O 0.5000 0.0000 0.0000  2 Nb 1.96
3 O 0.0000 0.5000 0.0000  2 Nb 1.96
4 Pd 0.5000 0.5000 0.5000  4 N 2.78, 8 O 2.90
5 N 0.0000 0.0000 0.5000  2 Nb 2.13

Computed properties:
- Symmetry: No. 123
- DOS at the Fermi energy: 3.670 states/eV/cell
- Raw formation energy: -627 meV/atom

No. 4
Material: RbNbNO2
Method: DFT, PBE
State: relaxed

a b c (Å): 4.1966 4.1966 4.4050
angles (deg): 90.00 90.00 90.00
Closest atoms and distances in Å follow each position.
Sites, in units of the cell vectors:
1 Rb 0.0000 0.0000 0.0000  4 O 2.10, 2 N 2.20
2 Nb 0.5000 0.5000 0.5000  4 N 2.97, 8 O 3.04
3 O 0.5000 0.0000 0.0000  2 Rb 2.10
4 O 0.0000 0.5000 0.0000  2 Rb 2.10
5 N 0.0000 0.0000 0.5000  2 Rb 2.20

Computed properties:
- Symmetry: No. 123
- DOS at the Fermi energy: 9.569 states/eV/cell
- Raw formation energy: 1895 meV/atom

No. 5
Material: RbNbNO2
Method: DFT, PBE
State: relaxed

a b c (Å): 4.1131 4.1131 4.2310
angles (deg): 90.00 90.00 90.00
Closest atoms and distances in Å follow each position.
Sites, in units of the cell vectors:
1 O 0.0000 0.5000 0.0000  2 Nb 2.06
2 O 0.5000 0.0000 0.0000  2 Nb 2.06
3 Nb 0.0000 0.0000 0.0000  4 O 2.06, 2 N 2.12
4 Rb 0.5000 0.5000 0.5000  4 N 2.91, 8 O 2.95
5 N 0.0000 0.0000 0.5000  2 Nb 2.12

Computed properties:
- Symmetry: No. 123
- DOS at the Fermi energy: 1.440 states/eV/cell
- Raw formation energy: -1383 meV/atom

No. 6
Material: NbReN2O
Method: DFT, PBE
State: relaxed

a b c (Å): 4.1360 4.1360 3.8597
angles (deg): 90.00 90.00 90.00
Closest atoms and distances in Å follow each position.
Sites, in units of the cell vectors:
1 Re 0.5000 0.5000 0.5000  8 N 2.83, 4 O 2.92
2 O 0.0000 0.0000 0.5000  2 Nb 1.93
3 Nb 0.0000 0.0000 0.0000  2 O 1.93, 4 N 2.07
4 N 0.5000 0.0000 0.0000  2 Nb 2.07
5 N 0.0000 0.5000 0.0000  2 Nb 2.07

Computed properties:
- Symmetry: No. 123
- DOS at the Fermi energy: 1.535 states/eV/cell
- Raw formation energy: 601 meV/atom

No. 7
Material: NbReNO2
Method: DFT, PBE
State: relaxed

a b c (Å): 3.7488 5.9304 3.7488
angles (deg): 90.00 90.00 90.00
Closest atoms and distances in Å follow each position.
Sites, in units of the cell vectors:
1 N 0.5000 0.5000 0.5000  4 Re 2.65
2 Nb 0.0000 0.0000 0.0000  4 O 1.87
3 O 0.0000 0.0000 0.5000  2 Nb 1.87
4 O 0.5000 0.0000 0.0000  2 Nb 1.87
5 Re 0.0000 0.5000 0.0000  4 N 2.65, 2 Nb 2.97

Computed properties:
- Symmetry: No. 123
- DOS at the Fermi energy: 2.560 states/eV/cell
- Raw formation energy: 316 meV/atom

No. 8
Material: NbReNO2
Method: DFT, PBE
State: relaxed

a b c (Å): 3.9054 3.9054 3.9246
angles (deg): 90.00 90.00 90.00
Closest atoms and distances in Å follow each position.
Sites, in units of the cell vectors:
1 Re 0.0000 0.0000 0.0000  4 O 1.95, 2 N 1.96
2 O 0.5000 0.0000 0.0000  2 Re 1.95
3 O 0.0000 0.5000 0.0000  2 Re 1.95
4 N 0.0000 0.0000 0.5000  2 Re 1.96
5 Nb 0.5000 0.5000 0.5000  4 N 2.76, 8 O 2.77

Computed properties:
- Symmetry: No. 123
- DOS at the Fermi energy: 4.622 states/eV/cell
- Raw formation energy: -215 meV/atom

No. 9
Material: NbReNO2
Method: DFT, PBE
State: relaxed

a b c (Å): 3.9371 3.9371 4.2945
angles (deg): 90.00 90.00 90.00
Closest atoms and distances in Å follow each position.
Sites, in units of the cell vectors:
1 Re 0.5000 0.5000 0.5000  4 N 2.78, 8 O 2.91
2 O 0.0000 0.5000 0.0000  2 Nb 1.97
3 O 0.5000 0.0000 0.0000  2 Nb 1.97
4 N 0.0000 0.0000 0.5000  2 Nb 2.15
5 Nb 0.0000 0.0000 0.0000  4 O 1.97, 2 N 2.15

Computed properties:
- Symmetry: No. 123
- DOS at the Fermi energy: 1.629 states/eV/cell
- Raw formation energy: -85 meV/atom

No. 10
Material: NbReN2O
Method: DFT, PBE
State: relaxed

a b c (Å): 3.8969 3.8969 3.8318
angles (deg): 90.00 90.00 90.00
Closest atoms and distances in Å follow each position.
Sites, in units of the cell vectors:
1 O 0.0000 0.0000 0.5000  2 Re 1.92
2 Re 0.0000 0.0000 0.0000  2 O 1.92, 4 N 1.95
3 Nb 0.5000 0.5000 0.5000  8 N 2.73, 4 O 2.76
4 N 0.0000 0.5000 0.0000  2 Re 1.95
5 N 0.5000 0.0000 0.0000  2 Re 1.95

Computed properties:
- Symmetry: No. 123
- DOS at the Fermi energy: 4.234 states/eV/cell
- Raw formation energy: 168 meV/atom

No. 11
Material: NbRhN2O
Method: DFT, PBE
State: relaxed

a b c (Å): 4.0989 4.0989 3.9306
angles (deg): 90.00 90.00 90.00
Closest atoms and distances in Å follow each position.
Sites, in units of the cell vectors:
1 Nb 0.0000 0.0000 0.0000  2 O 1.97, 4 N 2.05
2 O 0.0000 0.0000 0.5000  2 Nb 1.97
3 N 0.5000 0.0000 0.0000  2 Nb 2.05
4 N 0.0000 0.5000 0.0000  2 Nb 2.05
5 Rh 0.5000 0.5000 0.5000  8 N 2.84, 4 O 2.90

Computed properties:
- Symmetry: No. 123
- DOS at the Fermi energy: 4.627 states/eV/cell
- Raw formation energy: 307 meV/atom

No. 12
Material: NbRhN2O
Method: DFT, PBE
State: relaxed

a b c (Å): 3.8544 3.8544 3.8247
angles (deg): 90.00 90.00 90.00
Closest atoms and distances in Å follow each position.
Sites, in units of the cell vectors:
1 N 0.5000 0.0000 0.0000  2 Rh 1.93
2 N 0.0000 0.5000 0.0000  2 Rh 1.93
3 Nb 0.5000 0.5000 0.5000  8 N 2.71, 4 O 2.73
4 Rh 0.0000 0.0000 0.0000  2 O 1.91, 4 N 1.93
5 O 0.0000 0.0000 0.5000  2 Rh 1.91

Computed properties:
- Symmetry: No. 123
- DOS at the Fermi energy: 2.271 states/eV/cell
- Raw formation energy: 652 meV/atom

No. 13
Material: NbRuN2O
Method: DFT, PBE
State: relaxed

a b c (Å): 4.1039 4.1039 3.9226
angles (deg): 90.00 90.00 90.00
Closest atoms and distances in Å follow each position.
Sites, in units of the cell vectors:
1 O 0.0000 0.0000 0.5000  2 Nb 1.96
2 Ru 0.5000 0.5000 0.5000  8 N 2.84, 4 O 2.90
3 Nb 0.0000 0.0000 0.0000  2 O 1.96, 4 N 2.05
4 N 0.0000 0.5000 0.0000  2 Nb 2.05
5 N 0.5000 0.0000 0.0000  2 Nb 2.05

Computed properties:
- Symmetry: No. 123
- DOS at the Fermi energy: 4.282 states/eV/cell
- Raw formation energy: 380 meV/atom

No. 14
Material: NbRuN2O
Method: DFT, PBE
State: relaxed

a b c (Å): 3.8300 3.8300 3.8541
angles (deg): 90.00 90.00 90.00
Closest atoms and distances in Å follow each position.
Sites, in units of the cell vectors:
1 Ru 0.0000 0.0000 0.0000  4 N 1.91, 2 O 1.93
2 Nb 0.5000 0.5000 0.5000  4 O 2.71, 8 N 2.72
3 N 0.0000 0.5000 0.0000  2 Ru 1.91
4 N 0.5000 0.0000 0.0000  2 Ru 1.91
5 O 0.0000 0.0000 0.5000  2 Ru 1.93

Computed properties:
- Symmetry: No. 123
- DOS at the Fermi energy: 4.855 states/eV/cell
- Raw formation energy: 477 meV/atom

no.,E (eV per cell)
1,-116.2
2,-31.3
3,-36.6
4,-19.8
5,-36.2
6,-41.1
7,-39.2
8,-41.8
9,-41.2
10,-43.3
11,-37.5
12,-35.8
13,-39.1
14,-38.6